(1)
# MgTa4Cr, optimized geometry, DFT PBE
# - SG = No. 216
data_MgTa4Cr
_cell_length_a 5.481
_cell_length_b 5.481
_cell_length_c 5.481
_cell_angle_alpha 60.00
_cell_angle_beta 60.00
_cell_angle_gamma 60.00
_symmetry_space_group_name_H-M 'P 1'
_symmetry_Int_Tables_number 1
_symmetry_space_group_name_Hall 'P 1'
loop_
_atom_site_label
_atom_site_type_symbol
_atom_site_fract_x
_atom_site_fract_y
_atom_site_fract_z
_atom_site_occupancy
Mg1 Mg 0.000 0.000 0.000 1
Ta1 Ta 0.875 0.375 0.375 1
Ta2 Ta 0.375 0.375 0.875 1
Ta3 Ta 0.375 0.875 0.375 1
Ta4 Ta 0.375 0.375 0.375 1
Cr1 Cr 0.750 0.750 0.750 1

---

(2)
# MgTa2Cr, optimized geometry, DFT PBE
# - SG = No. 123
data_MgTa2Cr
_cell_length_a 4.414
_cell_length_b 4.414
_cell_length_c 3.376
_cell_angle_alpha 90.00
_cell_angle_beta 90.00
_cell_angle_gamma 89.96
_symmetry_space_group_name_H-M 'P 1'
_symmetry_Int_Tables_number 1
_symmetry_space_group_name_Hall 'P 1'
loop_
_atom_site_label
_atom_site_type_symbol
_atom_site_fract_x
_atom_site_fract_y
_atom_site_fract_z
_atom_site_occupancy
Cr1 Cr 0.500 0.000 0.500 1
Mg1 Mg 0.000 0.500 0.500 1
Ta1 Ta 0.000 0.000 0.000 1
Ta2 Ta 0.500 0.500 0.000 1

---

(3)
# MgTaCr2, optimized geometry, DFT PBE
# - SG = No. 123
data_MgTaCr2
_cell_length_a 3.193
_cell_length_b 4.435
_cell_length_c 4.435
_cell_angle_alpha 90.00
_cell_angle_beta 90.00
_cell_angle_gamma 90.00
_symmetry_space_group_name_H-M 'P 1'
_symmetry_Int_Tables_number 1
_symmetry_space_group_name_Hall 'P 1'
loop_
_atom_site_label
_atom_site_type_symbol
_atom_site_fract_x
_atom_site_fract_y
_atom_site_fract_z
_atom_site_occupancy
Cr1 Cr 0.000 0.000 0.000 1
Cr2 Cr 0.000 0.500 0.500 1
Mg1 Mg 0.500 0.500 0.000 1
Ta1 Ta 0.500 0.000 0.500 1

---

(4)
# MgTa2Cr, optimized geometry, DFT PBE
# - SG = No. 47
data_MgTa2Cr
_cell_length_a 2.886
_cell_length_b 4.220
_cell_length_c 5.733
_cell_angle_alpha 90.00
_cell_angle_beta 90.00
_cell_angle_gamma 90.00
_symmetry_space_group_name_H-M 'P 1'
_symmetry_Int_Tables_number 1
_symmetry_space_group_name_Hall 'P 1'
loop_
_atom_site_label
_atom_site_type_symbol
_atom_site_fract_x
_atom_site_fract_y
_atom_site_fract_z
_atom_site_occupancy
Cr1 Cr 0.500 0.500 0.250 1
Mg1 Mg 0.500 0.500 0.750 1
Ta1 Ta 0.000 0.000 0.015 1
Ta2 Ta 0.000 0.000 0.485 1

---

(5)
# MgTa2Cr, optimized geometry, DFT PBE
# - SG = No. 71
data_MgTa2Cr
_cell_length_a 5.285
_cell_length_b 5.285
_cell_length_c 5.285
_cell_angle_alpha 144.19
_cell_angle_beta 126.78
_cell_angle_gamma 65.81
_symmetry_space_group_name_H-M 'P 1'
_symmetry_Int_Tables_number 1
_symmetry_space_group_name_Hall 'P 1'
loop_
_atom_site_label
_atom_site_type_symbol
_atom_site_fract_x
_atom_site_fract_y
_atom_site_fract_z
_atom_site_occupancy
Cr1 Cr 0.750 0.250 0.500 1
Mg1 Mg 0.250 0.750 0.500 1
Ta1 Ta 0.966 0.966 0.000 1
Ta2 Ta 0.534 0.534 0.000 1

---

(6)
# MgTaCr3, optimized geometry, DFT PBE
# - relative energy among the computed polymorphs (eV per atom) = 0.4404
# - SG = No. 221
data_MgTaCr3
_cell_length_a 4.426
_cell_length_b 4.426
_cell_length_c 4.426
_cell_angle_alpha 90.00
_cell_angle_beta 90.00
_cell_angle_gamma 90.00
_symmetry_space_group_name_H-M 'P 1'
_symmetry_Int_Tables_number 1
_symmetry_space_group_name_Hall 'P 1'
loop_
_atom_site_label
_atom_site_type_symbol
_atom_site_fract_x
_atom_site_fract_y
_atom_site_fract_z
_atom_site_occupancy
Cr1 Cr 0.000 0.500 0.000 1
Cr2 Cr 0.000 0.000 0.500 1
Cr3 Cr 0.500 0.000 0.000 1
Mg1 Mg 0.000 0.000 0.000 1
Ta1 Ta 0.500 0.500 0.500 1

---

(7)
# MgTa2Cr, optimized geometry, DFT PBE
# - SG = No. 123
data_MgTa2Cr
_cell_length_a 3.143
_cell_length_b 3.143
_cell_length_c 6.924
_cell_angle_alpha 90.00
_cell_angle_beta 90.00
_cell_angle_gamma 90.00
_symmetry_space_group_name_H-M 'P 1'
_symmetry_Int_Tables_number 1
_symmetry_space_group_name_Hall 'P 1'
loop_
_atom_site_label
_atom_site_type_symbol
_atom_site_fract_x
_atom_site_fract_y
_atom_site_fract_z
_atom_site_occupancy
Cr1 Cr 0.500 0.500 0.250 1
Mg1 Mg 0.500 0.500 0.750 1
Ta1 Ta 0.000 0.000 0.041 1
Ta2 Ta 0.000 0.000 0.459 1

---

(8)
# MgTaCr2, optimized geometry, DFT PBE
# - SG = No. 71
data_MgTaCr2
_cell_length_a 5.021
_cell_length_b 5.021
_cell_length_c 5.021
_cell_angle_alpha 142.85
_cell_angle_beta 127.16
_cell_angle_gamma 66.35
_symmetry_space_group_name_H-M 'P 1'
_symmetry_Int_Tables_number 1
_symmetry_space_group_name_Hall 'P 1'
loop_
_atom_site_label
_atom_site_type_symbol
_atom_site_fract_x
_atom_site_fract_y
_atom_site_fract_z
_atom_site_occupancy
Cr1 Cr 0.010 0.010 0.000 1
Cr2 Cr 0.490 0.490 0.000 1
Mg1 Mg 0.750 0.250 0.500 1
Ta1 Ta 0.250 0.750 0.500 1

---

(9)
# MgTa2Cr, optimized geometry, DFT PBE
# - SG = No. 216
data_MgTa2Cr
_cell_length_a 4.601
_cell_length_b 4.601
_cell_length_c 4.601
_cell_angle_alpha 60.00
_cell_angle_beta 60.00
_cell_angle_gamma 60.00
_symmetry_space_group_name_H-M 'P 1'
_symmetry_Int_Tables_number 1
_symmetry_space_group_name_Hall 'P 1'
loop_
_atom_site_label
_atom_site_type_symbol
_atom_site_fract_x
_atom_site_fract_y
_atom_site_fract_z
_atom_site_occupancy
Cr1 Cr 0.500 0.500 0.500 1
Mg1 Mg 0.750 0.750 0.750 1
Ta1 Ta 0.000 0.000 0.000 1
Ta2 Ta 0.250 0.250 0.250 1

---

(10)
# MgTaCr2, optimized geometry, DFT PBE
# - SG = No. 25
data_MgTaCr2
_cell_length_a 2.631
_cell_length_b 4.247
_cell_length_c 5.440
_cell_angle_alpha 90.00
_cell_angle_beta 90.00
_cell_angle_gamma 90.00
_symmetry_space_group_name_H-M 'P 1'
_symmetry_Int_Tables_number 1
_symmetry_space_group_name_Hall 'P 1'
loop_
_atom_site_label
_atom_site_type_symbol
_atom_site_fract_x
_atom_site_fract_y
_atom_site_fract_z
_atom_site_occupancy
Cr1 Cr 0.000 0.000 0.009 1
Cr2 Cr 0.500 0.500 0.235 1
Mg1 Mg 0.000 0.000 0.487 1
Ta1 Ta 0.500 0.500 0.769 1

---

(11)
# MgTaCr2, optimized geometry, DFT PBE
# - SG = No. 12
data_MgTaCr2
_cell_length_a 5.143
_cell_length_b 5.143
_cell_length_c 2.622
_cell_angle_alpha 80.31
_cell_angle_beta 80.31
_cell_angle_gamma 115.00
_symmetry_space_group_name_H-M 'P 1'
_symmetry_Int_Tables_number 1
_symmetry_space_group_name_Hall 'P 1'
loop_
_atom_site_label
_atom_site_type_symbol
_atom_site_fract_x
_atom_site_fract_y
_atom_site_fract_z
_atom_site_occupancy
Cr1 Cr 0.000 0.000 0.000 1
Cr2 Cr 0.500 0.500 0.000 1
Mg1 Mg 0.500 0.000 0.500 1
Ta1 Ta 0.000 0.500 0.500 1

---

(12)
# MgTa2Cr, optimized geometry, DFT PBE
# - SG = No. 35
data_MgTa2Cr
_cell_length_a 2.818
_cell_length_b 2.818
_cell_length_c 9.247
_cell_angle_alpha 90.00
_cell_angle_beta 90.00
_cell_angle_gamma 110.57
_symmetry_space_group_name_H-M 'P 1'
_symmetry_Int_Tables_number 1
_symmetry_space_group_name_Hall 'P 1'
loop_
_atom_site_label
_atom_site_type_symbol
_atom_site_fract_x
_atom_site_fract_y
_atom_site_fract_z
_atom_site_occupancy
Cr1 Cr 0.000 0.000 0.485 1
Mg1 Mg 0.500 0.500 0.730 1
Ta1 Ta 0.000 0.000 0.012 1
Ta2 Ta 0.500 0.500 0.273 1

---

(13)
# MgTaCr2, optimized geometry, DFT PBE
# - SG = No. 65
data_MgTaCr2
_cell_length_a 5.108
_cell_length_b 5.108
_cell_length_c 2.568
_cell_angle_alpha 90.00
_cell_angle_beta 90.00
_cell_angle_gamma 115.43
_symmetry_space_group_name_H-M 'P 1'
_symmetry_Int_Tables_number 1
_symmetry_space_group_name_Hall 'P 1'
loop_
_atom_site_label
_atom_site_type_symbol
_atom_site_fract_x
_atom_site_fract_y
_atom_site_fract_z
_atom_site_occupancy
Cr1 Cr 0.000 0.000 0.000 1
Cr2 Cr 0.500 0.500 0.000 1
Mg1 Mg 0.500 0.000 0.500 1
Ta1 Ta 0.000 0.500 0.500 1

---

(14)
# MgTaCr3, optimized geometry, DFT PBE
# - relative energy among the computed polymorphs (eV per atom) = 0.0000
# - SG = No. 221
data_MgTaCr3
_cell_length_a 4.760
_cell_length_b 4.760
_cell_length_c 4.760
_cell_angle_alpha 90.00
_cell_angle_beta 90.00
_cell_angle_gamma 90.00
_symmetry_space_group_name_H-M 'P 1'
_symmetry_Int_Tables_number 1
_symmetry_space_group_name_Hall 'P 1'
loop_
_atom_site_label
_atom_site_type_symbol
_atom_site_fract_x
_atom_site_fract_y
_atom_site_fract_z
_atom_site_occupancy
Cr1 Cr 0.000 0.500 0.000 1
Cr2 Cr 0.000 0.000 0.500 1
Cr3 Cr 0.500 0.000 0.000 1
Mg1 Mg 0.500 0.500 0.500 1
Ta1 Ta 0.000 0.000 0.000 1

---

(15)
# MgTa2Cr, optimized geometry, DFT PBE
# - SG = No. 119
data_MgTa2Cr
_cell_length_a 5.109
_cell_length_b 5.109
_cell_length_c 5.109
_cell_angle_alpha 133.70
_cell_angle_beta 133.70
_cell_angle_gamma 67.55
_symmetry_space_group_name_H-M 'P 1'
_symmetry_Int_Tables_number 1
_symmetry_space_group_name_Hall 'P 1'
loop_
_atom_site_label
_atom_site_type_symbol
_atom_site_fract_x
_atom_site_fract_y
_atom_site_fract_z
_atom_site_occupancy
Cr1 Cr 0.500 0.500 0.000 1
Mg1 Mg 0.750 0.250 0.500 1
Ta1 Ta 0.000 0.000 0.000 1
Ta2 Ta 0.250 0.750 0.500 1

---

(16)
# MgTa2Cr, optimized geometry, DFT PBE
# - SG = No. 122
data_MgTa2Cr
_cell_length_a 3.884
_cell_length_b 3.884
_cell_length_c 10.053
_cell_angle_alpha 78.86
_cell_angle_beta 78.86
_cell_angle_gamma 90.00
_symmetry_space_group_name_H-M 'P 1'
_symmetry_Int_Tables_number 1
_symmetry_space_group_name_Hall 'P 1'
loop_
_atom_site_label
_atom_site_type_symbol
_atom_site_fract_x
_atom_site_fract_y
_atom_site_fract_z
_atom_site_occupancy
Cr1 Cr 0.000 0.000 0.000 1
Cr2 Cr 0.750 0.250 0.500 1
Mg1 Mg 0.500 0.500 0.000 1
Mg2 Mg 0.250 0.750 0.500 1
Ta1 Ta 0.637 0.125 0.250 1
Ta2 Ta 0.113 0.625 0.250 1
Ta3 Ta 0.375 0.363 0.750 1
Ta4 Ta 0.875 0.887 0.750 1

---

(17)
# MgTa2Cr, optimized geometry, DFT PBE
# - SG = No. 65
data_MgTa2Cr
_cell_length_a 2.856
_cell_length_b 2.856
_cell_length_c 9.111
_cell_angle_alpha 90.00
_cell_angle_beta 90.00
_cell_angle_gamma 111.76
_symmetry_space_group_name_H-M 'P 1'
_symmetry_Int_Tables_number 1
_symmetry_space_group_name_Hall 'P 1'
loop_
_atom_site_label
_atom_site_type_symbol
_atom_site_fract_x
_atom_site_fract_y
_atom_site_fract_z
_atom_site_occupancy
Cr1 Cr 0.500 0.500 0.250 1
Mg1 Mg 0.500 0.500 0.750 1
Ta1 Ta 0.000 0.000 0.033 1
Ta2 Ta 0.000 0.000 0.467 1

---

(18)
# MgTa2Cr, optimized geometry, DFT PBE
# - SG = No. 25
data_MgTa2Cr
_cell_length_a 2.699
_cell_length_b 4.479
_cell_length_c 5.661
_cell_angle_alpha 90.00
_cell_angle_beta 90.00
_cell_angle_gamma 90.00
_symmetry_space_group_name_H-M 'P 1'
_symmetry_Int_Tables_number 1
_symmetry_space_group_name_Hall 'P 1'
loop_
_atom_site_label
_atom_site_type_symbol
_atom_site_fract_x
_atom_site_fract_y
_atom_site_fract_z
_atom_site_occupancy
Cr1 Cr 0.000 0.000 0.485 1
Mg1 Mg 0.500 0.500 0.746 1
Ta1 Ta 0.000 0.000 0.009 1
Ta2 Ta 0.500 0.500 0.260 1

---

(19)
# MgTa2Cr, optimized geometry, DFT PBE
# - SG = No. 47
data_MgTa2Cr
_cell_length_a 3.413
_cell_length_b 4.417
_cell_length_c 4.554
_cell_angle_alpha 90.00
_cell_angle_beta 90.00
_cell_angle_gamma 90.00
_symmetry_space_group_name_H-M 'P 1'
_symmetry_Int_Tables_number 1
_symmetry_space_group_name_Hall 'P 1'
loop_
_atom_site_label
_atom_site_type_symbol
_atom_site_fract_x
_atom_site_fract_y
_atom_site_fract_z
_atom_site_occupancy
Cr1 Cr 0.500 0.000 0.500 1
Mg1 Mg 0.000 0.500 0.500 1
Ta1 Ta 0.000 0.000 0.000 1
Ta2 Ta 0.500 0.500 0.000 1

---

(20)
# MgTaCr2, optimized geometry, DFT PBE
# - SG = No. 216
data_MgTaCr2
_cell_length_a 4.427
_cell_length_b 4.427
_cell_length_c 4.427
_cell_angle_alpha 60.00
_cell_angle_beta 60.00
_cell_angle_gamma 60.00
_symmetry_space_group_name_H-M 'P 1'
_symmetry_Int_Tables_number 1
_symmetry_space_group_name_Hall 'P 1'
loop_
_atom_site_label
_atom_site_type_symbol
_atom_site_fract_x
_atom_site_fract_y
_atom_site_fract_z
_atom_site_occupancy
Cr1 Cr 0.000 0.000 0.000 1
Cr2 Cr 0.250 0.250 0.250 1
Mg1 Mg 0.500 0.500 0.500 1
Ta1 Ta 0.750 0.750 0.750 1

---

Computed E, in the same sequence as the records: -9.2197; -8.3606; -7.7756; -8.3332; -8.4233; -6.6312; -8.4975; -7.6579; -8.3027; -7.6370; -7.7029; -8.4580; -7.6128; -7.0715; -8.2905; -7.7625; -8.5261; -8.2800; -8.3373; -7.6651 eV per atom.